{"formula": "Al3AuO", "functional": "GGA-PBEsol", "state": "optimized geometry", "lattice_angstrom": [[4.053, 0.000, 0.000], [0.000, 4.053, 0.000], [0.000, 0.000, 4.053]], "species": ["Al", "Al", "Al", "Au", "O"], "fractional_positions": [[0.000, 0.000, 0.500], [0.000, 0.500, 0.000], [0.500, 0.000, 0.000], [0.500, 0.500, 0.500], [0.000, 0.000, 0.000]], "total_magnetization_mub_per_fu": 0.00, "crystal_system": "cubic", "dos_ef_per_ev_atom": 0.44}


{"formula": "CaScSi2", "functional": "GGA-PBEsol", "state": "optimized geometry", "lattice_angstrom": [[5.104, 0.000, 0.000], [0.000, 5.104, 0.000], [0.000, 0.000, 2.954]], "species": ["Ca", "Sc", "Si", "Si"], "fractional_positions": [[0.000, 0.000, 0.000], [0.500, 0.500, 0.000], [0.000, 0.500, 0.500], [0.500, 0.000, 0.500]], "polymorph_energy_ev_per_atom": 0.185, "total_magnetization_mub_per_fu": 0.24, "crystal_system": "tetragonal", "dos_ef_per_ev_atom": 0.66}


| no. | raw formation energy (eV/f.u.) |
| --- | --- |
| 1 | -2.71 |
| 2 | -1.32 |